(1)
Here is a crystal of Ca10Nb5InO24 relaxed with PBEsol from the Alexandria database. Energies are from meta-GGA SCAN.

Cell lengths 7.985, 7.979, 9.718 Å; angles 113.26, 113.03, 92.42 degrees
Atoms (fractional coordinates):
1 O 0.351 0.808 0.771
2 O 0.297 0.971 0.063
3 O 0.576 0.771 0.053
4 O 0.720 0.530 0.542
5 Ca 0.244 0.746 0.493
6 O 0.935 0.654 0.409
7 Ca 0.890 0.839 0.252
8 O 0.550 0.587 0.238
9 Nb 0.491 0.510 0.000
10 Ca 0.891 0.343 0.235
11 Ca 0.000 0.998 0.998
12 O 0.853 0.295 0.762
13 O 0.773 0.963 0.439
14 Nb 0.989 0.501 0.002
15 O 0.708 0.036 0.951
16 O 0.142 0.709 0.221
17 O 0.550 0.829 0.550
18 O 0.303 0.465 0.468
19 O 0.769 0.477 0.047
20 O 0.228 0.516 0.945
21 Ca 0.406 0.346 0.263
22 Ca 0.421 0.866 0.264
23 Ca 0.096 0.647 0.761
24 O 0.049 0.339 0.573
25 O 0.422 0.227 0.954
26 In 0.754 0.251 0.504
27 O 0.446 0.413 0.764
28 Ca 0.591 0.650 0.733
29 O 0.240 0.050 0.572
30 Nb 0.492 0.007 0.995
31 O 0.654 0.185 0.243
32 O 0.089 0.314 0.078
33 Nb 0.240 0.245 0.495
34 Nb 0.765 0.755 0.506
35 O 0.467 0.170 0.459
36 Ca 0.582 0.138 0.737
37 O 0.961 0.897 0.728
38 O 0.051 0.103 0.272
39 O 0.909 0.682 0.911
40 Ca 0.108 0.167 0.748

Summary:
space group: No. 1
E_form (uncorrected): -3.082 eV per atom

***

(2)
Here is a crystal of CaNb2InRe relaxed with PBEsol from the Alexandria database. Energies are from meta-GGA SCAN.

Cell lengths 4.909, 5.047, 5.047 Å; angles 90.00, 90.00, 90.00 degrees
Atoms (fractional coordinates):
1 Nb 0.000 0.500 0.000
2 Re 0.500 0.000 0.000
3 In 0.000 0.000 0.000
4 Nb 0.000 0.000 0.500
5 Ca 0.500 0.500 0.500

Summary:
energy of formation from the pure elements: 1809 meV per atom
space group: No. 123

***

(3)
Here is a crystal of Ca2NbInSi relaxed with PBEsol from the Alexandria database. Energies are from meta-GGA SCAN.

Cell lengths 4.893, 5.462, 5.462 Å; angles 90.00, 90.00, 90.00 degrees
Atoms (fractional coordinates):
1 Ca 0.000 0.000 0.500
2 Ca 0.000 0.500 0.000
3 Si 0.500 0.000 0.000
4 In 0.500 0.500 0.500
5 Nb 0.000 0.000 0.000

Summary:
space group: No. 123
E_form (uncorrected): 0.662 eV per atom

***

(4)
Here is a crystal of CaIn4Ni relaxed with PBEsol from the Alexandria database. Energies are from meta-GGA SCAN.

Cell lengths 4.384, 7.261, 8.522 Å; angles 90.00, 104.90, 90.00 degrees
Atoms (fractional coordinates):
1 Ca 0.126 0.750 0.252
2 In 0.071 0.250 0.142
3 In 0.312 0.952 0.625
4 In 0.929 0.750 0.858
5 Ni 0.774 0.750 0.549
6 In 0.500 0.000 0.000
7 In 0.312 0.548 0.625
8 In 0.688 0.452 0.375
9 In 0.688 0.048 0.375
10 Ca 0.874 0.250 0.748
11 Ni 0.226 0.250 0.451
12 In 0.500 0.500 0.000

Summary:
energy of formation from the pure elements: -372 meV per atom
space group: No. 63

***

(5)
Here is a crystal of CaIn3O relaxed with PBEsol from the Alexandria database. Energies are from meta-GGA SCAN.

Cell lengths 5.853, 5.853, 5.853 Å; angles 90.00, 90.00, 90.00 degrees
Atoms (fractional coordinates):
1 O 0.500 0.500 0.500
2 In 0.000 0.500 0.000
3 In 0.500 0.000 0.000
4 In 0.000 0.000 0.500
5 Ca 0.000 0.000 0.000

Summary:
space group: No. 221
E_form (uncorrected): 1.038 eV per atom

***

(6)
Here is a crystal of CaIn2P3O12 relaxed with PBEsol from the Alexandria database. Energies are from meta-GGA SCAN.

Cell lengths 6.573, 6.642, 20.489 Å; angles 90.00, 90.00, 91.83 degrees
Atoms (fractional coordinates):
1 O 0.489 0.918 0.284
2 O 0.063 0.223 0.005
3 O 0.951 0.053 0.312
4 P 0.090 0.890 0.617
5 O 0.684 0.120 0.022
6 O 0.316 0.880 0.978
7 P 0.121 0.792 0.948
8 In 0.558 0.395 0.711
9 In 0.101 0.285 0.903
10 Ca 0.137 0.431 0.575
11 O 0.719 0.237 0.391
12 In 0.058 0.895 0.789
13 O 0.047 0.947 0.894
14 O 0.128 0.660 0.300
15 O 0.763 0.580 0.304
16 In 0.942 0.105 0.211
17 P 0.055 0.395 0.744
18 Ca 0.863 0.569 0.425
19 O 0.547 0.447 0.606
20 O 0.781 0.263 0.891
21 O 0.418 0.240 0.907
22 O 0.372 0.840 0.800
23 O 0.872 0.340 0.700
24 O 0.111 0.088 0.580
25 O 0.437 0.277 0.505
26 O 0.389 0.412 0.080
27 O 0.599 0.727 0.704
28 P 0.590 0.390 0.883
29 O 0.345 0.906 0.413
30 O 0.918 0.740 0.593
31 O 0.451 0.553 0.188
32 O 0.953 0.053 0.106
33 O 0.511 0.082 0.716
34 O 0.453 0.553 0.394
35 P 0.555 0.895 0.756
36 P 0.910 0.110 0.383
37 O 0.049 0.947 0.688
38 O 0.582 0.760 0.093
39 Ca 0.363 0.069 0.075
40 P 0.621 0.292 0.552
41 P 0.445 0.105 0.244
42 Ca 0.637 0.931 0.925
43 O 0.155 0.594 0.913
44 P 0.379 0.708 0.448
45 O 0.989 0.418 0.216
46 O 0.628 0.160 0.200
47 O 0.845 0.406 0.087
48 O 0.901 0.773 0.204
49 O 0.549 0.447 0.812
50 O 0.011 0.582 0.784
51 O 0.655 0.094 0.587
52 O 0.937 0.777 0.995
53 O 0.281 0.763 0.609
54 In 0.601 0.785 0.597
55 P 0.945 0.605 0.256
56 O 0.816 0.380 0.522
57 P 0.879 0.208 0.052
58 In 0.399 0.215 0.403
59 O 0.082 0.260 0.407
60 O 0.184 0.620 0.478
61 O 0.263 0.080 0.196
62 O 0.401 0.273 0.296
63 O 0.219 0.737 0.109
64 O 0.737 0.920 0.804
65 In 0.442 0.605 0.289
66 O 0.611 0.588 0.920
67 O 0.099 0.227 0.796
68 O 0.889 0.912 0.420
69 O 0.563 0.723 0.495
70 O 0.237 0.420 0.696
71 P 0.410 0.610 0.117
72 In 0.899 0.715 0.097

Summary:
space group: No. 14
E_form (uncorrected): -2.399 eV per atom

***

(7)
Here is a crystal of CaInP2O relaxed with PBEsol from the Alexandria database. Energies are from meta-GGA SCAN.

Cell lengths 4.089, 5.095, 5.095 Å; angles 90.00, 90.00, 90.00 degrees
Atoms (fractional coordinates):
1 Ca 0.500 0.500 0.500
2 In 0.000 0.000 0.000
3 P 0.000 0.500 0.000
4 O 0.500 0.000 0.000
5 P 0.000 0.000 0.500

Summary:
space group: No. 123
E_form (uncorrected): -0.181 eV per atom

***

(8)
Here is a crystal of CaInPt2O relaxed with PBEsol from the Alexandria database. Energies are from meta-GGA SCAN.

Cell lengths 4.443, 4.469, 4.469 Å; angles 90.00, 90.00, 90.00 degrees
Atoms (fractional coordinates):
1 In 0.500 0.000 0.000
2 Pt 0.000 0.000 0.500
3 O 0.000 0.000 0.000
4 Ca 0.500 0.500 0.500
5 Pt 0.000 0.500 0.000

Summary:
space group: No. 123
E_form (uncorrected): -0.278 eV per atom

***

| no. | spin magnetization (Bohr magnetons per cell) |
| --- | --- |
| 1 | 0.2 |
| 2 | 1.3 |
| 3 | 0.0 |
| 4 | 0.0 |
| 5 | 1.3 |
| 6 | 4.4 |
| 7 | 2.3 |
| 8 | 0.0 |